1.
VASP calculation (GGA-PBE) on a relaxed structure of KTe2Pd2.

abc: 4.5699 4.5699 12.5184
angles: 90.00 90.00 90.00
Last column: nearest neighbours and their distance in Å.
Positions (direct):
1 K 0.0000 0.0000 0.0000  8 Te 3.65, 8 Pd 3.87
2 K 0.5000 0.5000 0.5000  8 Te 3.65, 8 Pd 3.87
3 Te 0.0000 0.0000 0.3646  4 Pd 2.70
4 Te 0.0000 0.0000 0.6354  4 Pd 2.70
5 Te 0.5000 0.5000 0.1354  4 Pd 2.70
6 Te 0.5000 0.5000 0.8646  4 Pd 2.70
7 Pd 0.0000 0.5000 0.2500  4 Te 2.70
8 Pd 0.0000 0.5000 0.7500  4 Te 2.70
9 Pd 0.5000 0.0000 0.2500  4 Te 2.70
10 Pd 0.5000 0.0000 0.7500  4 Te 2.70


2.
VASP calculation (GGA-PBE) on a relaxed structure of KTePd.

abc: 6.9382 6.9382 6.9382
angles: 90.00 90.00 90.00
Last column: nearest neighbours and their distance in Å.
Positions (direct):
1 K 0.0000 0.0000 0.0000  4 Pd 3.00
2 K 0.0000 0.5000 0.5000  4 Pd 3.00
3 K 0.5000 0.0000 0.5000  4 Pd 3.00
4 K 0.5000 0.5000 0.0000  4 Pd 3.00
5 Te 0.0000 0.0000 0.5000  4 Pd 3.00
6 Te 0.0000 0.5000 0.0000  4 Pd 3.00
7 Te 0.5000 0.0000 0.0000  4 Pd 3.00
8 Te 0.5000 0.5000 0.5000  4 Pd 3.00
9 Pd 0.2500 0.2500 0.2500  4 K 3.00, 4 Te 3.00
10 Pd 0.2500 0.7500 0.7500  4 K 3.00, 4 Te 3.00
11 Pd 0.7500 0.2500 0.7500  4 K 3.00, 4 Te 3.00
12 Pd 0.7500 0.7500 0.2500  4 K 3.00, 4 Te 3.00


3.
VASP calculation (GGA-PBE) on a relaxed structure of KTe5Pd3.

abc: 6.1345 6.1345 7.7952
angles: 90.00 90.00 120.00
Last column: nearest neighbours and their distance in Å.
Positions (direct):
1 K 0.0000 0.0000 0.0000  14 Te 3.90-3.99
2 Te 0.0000 0.0000 0.5000  6 Pd 3.07
3 Te 0.3333 0.6667 0.2358  3 Pd 2.72
4 Te 0.3333 0.6667 0.7642  3 Pd 2.72
5 Te 0.6667 0.3333 0.2358  3 Pd 2.72
6 Te 0.6667 0.3333 0.7642  3 Pd 2.72
7 Pd 0.0000 0.5000 0.5000  4 Te 2.72
8 Pd 0.5000 0.0000 0.5000  4 Te 2.72
9 Pd 0.5000 0.5000 0.5000  4 Te 2.72


4.
VASP calculation (GGA-PBE) on a relaxed structure of KTe3Pd2.

abc: 8.5515 4.1011 10.4624
angles: 90.00 112.18 90.00
Last column: nearest neighbours and their distance in Å.
Positions (direct):
1 K 0.2491 0.2500 0.2033  6 Te 3.54-3.62, 2 Pd 3.81
2 K 0.7509 0.7500 0.7967  6 Te 3.54-3.62, 2 Pd 3.81
3 Te 0.0315 0.7500 0.3690  3 Pd 2.72-2.75
4 Te 0.2536 0.7500 0.9291  4 Pd 2.69-2.77
5 Te 0.3897 0.2500 0.6129  3 Pd 2.70-2.78
6 Te 0.6103 0.7500 0.3871  3 Pd 2.70-2.78
7 Te 0.7464 0.2500 0.0709  4 Pd 2.69-2.77
8 Te 0.9685 0.2500 0.6310  3 Pd 2.72-2.75
9 Pd 0.1900 0.7500 0.6488  6 Te 2.72-2.78
10 Pd 0.4267 0.2500 0.8810  4 Te 2.69-2.71
11 Pd 0.5733 0.7500 0.1190  4 Te 2.69-2.71
12 Pd 0.8100 0.2500 0.3512  6 Te 2.72-2.78


5.
VASP calculation (GGA-PBE) on a relaxed structure of K2Te2Pd.

abc: 4.0568 7.9174 10.4170
angles: 90.00 90.00 90.00
Last column: nearest neighbours and their distance in Å.
Positions (direct):
1 K 0.0000 0.0000 0.2026  6 Te 3.56-3.67, 2 Pd 3.70
2 K 0.0000 0.0000 0.7974  6 Te 3.56-3.67, 2 Pd 3.70
3 K 0.5000 0.5000 0.2974  6 Te 3.56-3.67, 2 Pd 3.70
4 K 0.5000 0.5000 0.7026  6 Te 3.56-3.67, 2 Pd 3.70
5 Te 0.0000 0.2213 0.5000  2 Pd 2.68
6 Te 0.0000 0.7787 0.5000  2 Pd 2.68
7 Te 0.5000 0.2787 0.0000  2 Pd 2.68
8 Te 0.5000 0.7213 0.0000  2 Pd 2.68
9 Pd 0.0000 0.5000 0.0000  4 Te 2.68
10 Pd 0.5000 0.0000 0.5000  4 Te 2.68


6.
VASP calculation (GGA-PBE) on a relaxed structure of K2Te2Pd.

abc: 8.7367 8.7367 8.7367
angles: 131.02 69.82 133.53
Last column: nearest neighbours and their distance in Å.
Positions (direct):
1 K 0.1364 0.1752 0.3116  2 Pd 3.51, 6 Te 3.58-3.75
2 K 0.3636 0.6752 0.0388  2 Pd 3.51, 6 Te 3.58-3.75
3 K 0.6364 0.3248 0.9612  2 Pd 3.51, 6 Te 3.58-3.75
4 K 0.8636 0.8248 0.6884  2 Pd 3.51, 6 Te 3.58-3.75
5 Te 0.1140 0.6739 0.7879  2 Pd 2.69
6 Te 0.3860 0.1739 0.5598  2 Pd 2.69
7 Te 0.6140 0.8261 0.4402  2 Pd 2.69
8 Te 0.8860 0.3261 0.2121  2 Pd 2.69
9 Pd 0.2500 0.7500 0.5000  4 Te 2.69
10 Pd 0.7500 0.2500 0.5000  4 Te 2.69


Sequential calculated total energy output: -4.073, -3.438, -3.913, -3.909, -3.545, -3.409 eV/atom